No. 1
MnPtBr2 | GGA-PBEsol | relaxed

a b c (Å): 6.7128 6.7128 6.7128
angles (deg): 90.00 90.00 90.00
Space group F-43m (No. 216)
Inequivalent atoms, fractional coordinates:
Mn 0.0000 0.0000 0.0000
Pt 0.2500 0.2500 0.7500
Br 0.0000 0.0000 0.5000
Br 0.2500 0.2500 0.2500

Values from the calculation:
E above lowest polymorph   288 meV per atom
Calculated volume   18.91 A^3/atom
Uncorrected formation energy   598 meV per atom

=====

No. 2
MnPtBr2 | GGA-PBEsol | relaxed

a b c (Å): 3.3189 4.0710 5.8751
angles (deg): 90.00 90.00 90.00
Space group Pmmm (No. 47)
Inequivalent atoms, fractional coordinates:
Mn 0.0000 0.0000 0.0000
Pt 0.5000 0.0000 0.5000
Br 0.0000 0.5000 0.5000
Br 0.5000 0.5000 0.0000

Values from the calculation:
E above lowest polymorph   26 meV per atom
Calculated volume   19.84 A^3/atom
Uncorrected formation energy   336 meV per atom

=====

For the records above, the corresponding final energy values read -18.1, -19.1 eV/f.u..
For the records above, the corresponding DOS(E_F) values read 10.1, 1.7 states/eV/cell.